The following is a DFT calculation (PBE+U) of a geometry-optimized VP2BrO structure.

Cell and atoms, written as POSCAR:
```
VP2BrO
1.0
4.778 0.000 0.000
0.000 4.778 0.000
0.000 0.000 3.703
V P Br O
1 2 1 1
Direct
0.000 0.000 0.000
0.000 0.500 0.000
0.500 0.000 0.000
0.500 0.500 0.500
0.000 0.000 0.500
```

- V (Å³ per cell) = 84.6
- theoretical density (Mg/m³) = 4.1
- ΔE to the lowest computed polymorph (eV per atom) = 0.000
- E (eV per formula unit) = -24.35
- space-group type = P4/mmm, No. 123